Below is a geometry-optimized LaAlSi2 structure, with properties calculated at the GGA-PBE level.

Lattice parameters (Å, degrees): 4.627 4.627 5.479 72.77 72.77 49.33
Fractional coordinates of all 4 atoms:
Si 0.021 0.021 0.887
Si 0.479 0.479 0.613
Al 0.750 0.750 0.750
La 0.250 0.250 0.250

Values from the calculation:
Size of the total moment ... 0.0 μB/cell
Raw total energy ... -21.2 eV/cell
DOS at the Fermi energy ... 1.71 states/eV/cell
Formation energy without anion corrections ... -413 meV/atom
Calculated volume ... 21.0 Å³/atom